# HoErS | the Alexandria database | PBE-GGA | relaxed
# SG: C2/m
# D(E_F): 0.93 states/eV/atom
# Excess energy over the best structure of this formula in the dataset: 0 meV per atom
# Uncorrected formation energy: -29.40 kcal/mol of atoms
data_HoErS
_chemical_formula_sum 'Ho2 Er2 S2'
_cell_length_a 3.745
_cell_length_b 6.492
_cell_length_c 7.277
_cell_angle_alpha 116.56
_cell_angle_beta 104.91
_cell_angle_gamma 90.00
_symmetry_space_group_name_H-M 'P 1'
_symmetry_Int_Tables_number 1
_symmetry_space_group_name_Hall 'P 1'
loop_
_atom_site_label
_atom_site_type_symbol
_atom_site_fract_x
_atom_site_fract_y
_atom_site_fract_z
Ho1 Ho 0.383 0.717 0.766
Er1 Er 0.883 0.216 0.765
S1 S 0.750 0.751 0.500
Ho2 Ho 0.617 0.283 0.234
S2 S 0.250 0.249 0.500
Er2 Er 0.117 0.784 0.235